one) A plane-wave DFT calculation with PBE was carried out for a geometry-optimized BaTaAg structure.

extended XYZ file:
```
12
Lattice="6.961 0.000 0.000 0.000 6.961 0.000 0.000 0.000 6.961" Properties=species:S:1:pos:R:3 pbc="T T T"
Ba 0.000 0.000 0.000
Ba 0.000 3.481 3.481
Ba 3.481 0.000 3.481
Ba 3.481 3.481 0.000
Ta 1.740 1.740 5.221
Ta 1.740 5.221 1.740
Ta 5.221 1.740 1.740
Ta 5.221 5.221 5.221
Ag 0.000 0.000 3.481
Ag 0.000 3.481 0.000
Ag 3.481 0.000 0.000
Ag 3.481 3.481 3.481
```

The magnetic moment comes out at 0.0 μB/f.u. As for the space group: No. 216.


two) A plane-wave DFT calculation with PBE was carried out for a geometry-optimized BaTaAg structure.

extended XYZ file:
```
12
Lattice="7.548 0.000 0.000 0.000 7.548 0.000 0.000 0.000 7.548" Properties=species:S:1:pos:R:3 pbc="T T T"
Ba 0.000 0.000 0.000
Ba 0.000 3.774 3.774
Ba 3.774 0.000 3.774
Ba 3.774 3.774 0.000
Ta 1.887 1.887 1.887
Ta 1.887 5.661 5.661
Ta 5.661 1.887 5.661
Ta 5.661 5.661 1.887
Ag 1.887 1.887 5.661
Ag 1.887 5.661 1.887
Ag 5.661 1.887 1.887
Ag 5.661 5.661 5.661
```

The magnetic moment comes out at 3.7 μB/f.u. As for the space group: No. 216.


Energy relative to the most stable one, in kJ/mol of atoms: one) 0.0; two) 50.7


one) A plane-wave DFT calculation with PBE was carried out for a geometry-optimized Be2Ag structure.

extended XYZ file:
```
6
Lattice="0.000 3.198 3.198 3.198 0.000 3.198 3.198 3.198 0.000" Properties=species:S:1:pos:R:3 pbc="T T T"
Be 0.000 0.000 0.000
Be 1.599 1.599 0.000
Be 1.599 0.000 1.599
Be 0.000 1.599 1.599
Ag 2.399 2.399 2.399
Ag 3.998 3.998 3.998
```

As for the space group: No. 227.


two) A plane-wave DFT calculation with PBE was carried out for a geometry-optimized Be2Ag structure.

extended XYZ file:
```
12
Lattice="5.470 0.000 0.000 0.000 5.470 0.000 0.000 0.000 5.470" Properties=species:S:1:pos:R:3 pbc="T T T"
Be 1.367 1.367 1.367
Be 1.367 1.367 4.102
Be 1.367 4.102 1.367
Be 1.367 4.102 4.102
Be 4.102 1.367 1.367
Be 4.102 1.367 4.102
Be 4.102 4.102 1.367
Be 4.102 4.102 4.102
Ag 0.000 0.000 0.000
Ag 0.000 2.735 2.735
Ag 2.735 0.000 2.735
Ag 2.735 2.735 0.000
```

As for the space group: No. 225.


Energy relative to the most stable one, in kJ/mol of atoms: one) 0.0; two) 53.4


one) A plane-wave DFT calculation with PBE was carried out for a geometry-optimized BeAgBiPt structure.

extended XYZ file:
```
16
Lattice="6.615 0.000 0.000 0.000 6.615 0.000 0.000 0.000 6.615" Properties=species:S:1:pos:R:3 pbc="T T T"
Be 0.000 0.000 0.000
Be 0.000 3.308 3.308
Be 3.308 0.000 3.308
Be 3.308 3.308 0.000
Ag 1.654 1.654 4.962
Ag 1.654 4.962 1.654
Ag 4.962 1.654 1.654
Ag 4.962 4.962 4.962
Bi 0.000 0.000 3.308
Bi 0.000 3.308 0.000
Bi 3.308 0.000 0.000
Bi 3.308 3.308 3.308
Pt 1.654 1.654 1.654
Pt 1.654 4.962 4.962
Pt 4.962 1.654 4.962
Pt 4.962 4.962 1.654
```

The magnetic moment comes out at 0.0 μB/f.u. As for the space group: No. 216.


two) A plane-wave DFT calculation with PBE was carried out for a geometry-optimized BeAgBiPt structure.

extended XYZ file:
```
16
Lattice="6.628 0.000 0.000 0.000 6.628 0.000 0.000 0.000 6.628" Properties=species:S:1:pos:R:3 pbc="T T T"
Be 0.000 0.000 0.000
Be 0.000 3.314 3.314
Be 3.314 0.000 3.314
Be 3.314 3.314 0.000
Ag 1.657 1.657 1.657
Ag 1.657 4.971 4.971
Ag 4.971 1.657 4.971
Ag 4.971 4.971 1.657
Bi 1.657 1.657 4.971
Bi 1.657 4.971 1.657
Bi 4.971 1.657 1.657
Bi 4.971 4.971 4.971
Pt 0.000 0.000 3.314
Pt 0.000 3.314 0.000
Pt 3.314 0.000 0.000
Pt 3.314 3.314 3.314
```

The magnetic moment comes out at 0.0 μB/f.u. As for the space group: No. 216.


Energy relative to the most stable one, in kJ/mol of atoms: one) 0.0; two) 5.8